A plane-wave DFT calculation with GGA-PBE was carried out for a relaxed structure of SrEuBiBr.

E_tot, eV per atom: -5.59
Uncorrected formation energy, eV per formula unit: -4.8
DOS(E_F), states/eV/cell: 76.6

Geometry as CIF:
```
data_SrEuBiBr
_space_group_name_H-M_alt 'F -4 3 m'
_space_group_IT_number 216
_space_group_name_Hall 'F -4 2 3'
_cell_length_a 8.108
_cell_length_b 8.108
_cell_length_c 8.108
_cell_angle_alpha 90.00
_cell_angle_beta 90.00
_cell_angle_gamma 90.00
loop_
_atom_site_label
_atom_site_type_symbol
_atom_site_fract_x
_atom_site_fract_y
_atom_site_fract_z
Sr1 Sr 0.000 0.000 0.000
Eu1 Eu 0.000 0.000 0.500
Bi1 Bi 0.250 0.250 0.750
Br1 Br 0.250 0.250 0.250
```


A plane-wave DFT calculation with GGA-PBE was carried out for a relaxed structure of BiBr2F.

E_tot, eV per atom: -3.49
Uncorrected formation energy, eV per formula unit: -4.9
E above lowest polymorph, meV per atom: 75
DOS(E_F), states/eV/cell: 0.0

Geometry as CIF:
```
data_BiBr2F
_space_group_name_H-M_alt 'I -4 2 d'
_space_group_IT_number 122
_space_group_name_Hall 'I -4 2bw'
_cell_length_a 10.586
_cell_length_b 10.586
_cell_length_c 4.566
_cell_angle_alpha 90.00
_cell_angle_beta 90.00
_cell_angle_gamma 90.00
loop_
_atom_site_label
_atom_site_type_symbol
_atom_site_fract_x
_atom_site_fract_y
_atom_site_fract_z
Bi1 Bi 0.000 0.000 0.000
Br1 Br 0.096 0.250 0.125
F1 F 0.000 0.000 0.500
```


A plane-wave DFT calculation with GGA-PBE was carried out for a relaxed structure of BiBr2F.

E_tot, eV per atom: -3.57
Uncorrected formation energy, eV per formula unit: -5.2
E above lowest polymorph, meV per atom: 0
DOS(E_F), states/eV/cell: 0.0

Geometry as CIF:
```
data_BiBr2F
_space_group_name_H-M_alt 'I m m m'
_space_group_IT_number 71
_space_group_name_Hall '-I 2 2'
_cell_length_a 4.180
_cell_length_b 4.576
_cell_length_c 14.422
_cell_angle_alpha 90.00
_cell_angle_beta 90.00
_cell_angle_gamma 90.00
loop_
_atom_site_label
_atom_site_type_symbol
_atom_site_fract_x
_atom_site_fract_y
_atom_site_fract_z
Bi1 Bi 0.000 0.000 0.000
Br1 Br 0.000 0.500 0.360
F1 F 0.000 0.500 0.000
```


A plane-wave DFT calculation with GGA-PBE was carried out for a relaxed structure of BiBrF2.

E_tot, eV per atom: -4.15
Uncorrected formation energy, eV per formula unit: -7.3
E above lowest polymorph, meV per atom: 0
DOS(E_F), states/eV/cell: 0.0

Geometry as CIF:
```
data_BiBrF2
_space_group_name_H-M_alt 'C m c m'
_space_group_IT_number 63
_space_group_name_Hall '-C 2c 2'
_cell_length_a 3.847
_cell_length_b 11.883
_cell_length_c 7.251
_cell_angle_alpha 90.00
_cell_angle_beta 90.00
_cell_angle_gamma 90.00
loop_
_atom_site_label
_atom_site_type_symbol
_atom_site_fract_x
_atom_site_fract_y
_atom_site_fract_z
Bi1 Bi 0.000 0.239 0.250
Br1 Br 0.000 0.439 0.750
F1 F 0.000 0.186 0.568
```


A plane-wave DFT calculation with GGA-PBE was carried out for a relaxed structure of BiBrF2.

E_tot, eV per atom: -3.37
Uncorrected formation energy, eV per formula unit: -4.2
E above lowest polymorph, meV per atom: 783
DOS(E_F), states/eV/cell: 7.4

Geometry as CIF:
```
data_BiBrF2
_space_group_name_H-M_alt 'R -3 m'
_space_group_IT_number 166
_space_group_name_Hall '-R 3 2"'
_cell_length_a 3.3409
_cell_length_b 3.3409
_cell_length_c 31.2940
_cell_angle_alpha 90.00
_cell_angle_beta 90.00
_cell_angle_gamma 120.00
loop_
_atom_site_label
_atom_site_type_symbol
_atom_site_fract_x
_atom_site_fract_y
_atom_site_fract_z
Bi1 Bi 0.0000 0.0000 0.0000
Br1 Br 0.0000 0.0000 0.5000
F1 F 0.0000 0.0000 0.3836
```


A plane-wave DFT calculation with GGA-PBE was carried out for a relaxed structure of BiBr2F.

E_tot, eV per atom: -3.54
Uncorrected formation energy, eV per formula unit: -5.0
E above lowest polymorph, meV per atom: 33
DOS(E_F), states/eV/cell: 0.0

Geometry as CIF:
```
data_BiBr2F
_space_group_name_H-M_alt 'C m c m'
_space_group_IT_number 63
_space_group_name_Hall '-C 2c 2'
_cell_length_a 3.982
_cell_length_b 8.072
_cell_length_c 15.118
_cell_angle_alpha 90.00
_cell_angle_beta 90.00
_cell_angle_gamma 90.00
loop_
_atom_site_label
_atom_site_type_symbol
_atom_site_fract_x
_atom_site_fract_y
_atom_site_fract_z
Bi1 Bi 0.000 0.221 0.250
Br1 Br 0.000 0.357 0.617
F1 F 0.000 0.052 0.750
```


A plane-wave DFT calculation with GGA-PBE was carried out for a relaxed structure of BiBrF2.

E_tot, eV per atom: -3.85
Uncorrected formation energy, eV per formula unit: -6.1
E above lowest polymorph, meV per atom: 301
DOS(E_F), states/eV/cell: 0.0

Geometry as CIF:
```
data_BiBrF2
_space_group_name_H-M_alt 'I -4 2 d'
_space_group_IT_number 122
_space_group_name_Hall 'I -4 2bw'
_cell_length_a 4.785
_cell_length_b 4.785
_cell_length_c 15.189
_cell_angle_alpha 90.00
_cell_angle_beta 90.00
_cell_angle_gamma 90.00
loop_
_atom_site_label
_atom_site_type_symbol
_atom_site_fract_x
_atom_site_fract_y
_atom_site_fract_z
Bi1 Bi 0.000 0.000 0.000
Br1 Br 0.000 0.000 0.500
F1 F 0.070 0.250 0.125
```


A plane-wave DFT calculation with GGA-PBE was carried out for a relaxed structure of Bi2BrF5.

E_tot, eV per atom: -4.47
Uncorrected formation energy, eV per formula unit: -17.0
DOS(E_F), states/eV/cell: 0.0

Geometry as CIF:
```
data_Bi2BrF5
_space_group_name_H-M_alt 'I m m m'
_space_group_IT_number 71
_space_group_name_Hall '-I 2 2'
_cell_length_a 3.936
_cell_length_b 7.270
_cell_length_c 9.490
_cell_angle_alpha 90.00
_cell_angle_beta 90.00
_cell_angle_gamma 90.00
loop_
_atom_site_label
_atom_site_type_symbol
_atom_site_fract_x
_atom_site_fract_y
_atom_site_fract_z
Bi1 Bi 0.000 0.000 0.235
Br1 Br 0.000 0.500 0.000
F1 F 0.000 0.000 0.000
F2 F 0.000 0.321 0.319
```


A plane-wave DFT calculation with GGA-PBE was carried out for a relaxed structure of Bi2BrF.

E_tot, eV per atom: -3.13
Uncorrected formation energy, eV per formula unit: -1.2
E above lowest polymorph, meV per atom: 393
DOS(E_F), states/eV/cell: 18.2

Geometry as CIF:
```
data_Bi2BrF
_space_group_name_H-M_alt 'F m -3 m'
_space_group_IT_number 225
_space_group_name_Hall '-F 4 2 3'
_cell_length_a 7.301
_cell_length_b 7.301
_cell_length_c 7.301
_cell_angle_alpha 90.00
_cell_angle_beta 90.00
_cell_angle_gamma 90.00
loop_
_atom_site_label
_atom_site_type_symbol
_atom_site_fract_x
_atom_site_fract_y
_atom_site_fract_z
Bi1 Bi 0.250 0.250 0.250
Br1 Br 0.000 0.000 0.000
F1 F 0.000 0.000 0.500
```


A plane-wave DFT calculation with GGA-PBE was carried out for a relaxed structure of BiBrF2.

E_tot, eV per atom: -4.12
Uncorrected formation energy, eV per formula unit: -7.2
E above lowest polymorph, meV per atom: 27
DOS(E_F), states/eV/cell: 0.0

Geometry as CIF:
```
data_BiBrF2
_space_group_name_H-M_alt 'P 1 21/m 1'
_space_group_IT_number 11
_space_group_name_Hall '-P 2yb'
_cell_length_a 6.701
_cell_length_b 3.803
_cell_length_c 7.251
_cell_angle_alpha 90.00
_cell_angle_beta 112.07
_cell_angle_gamma 90.00
loop_
_atom_site_label
_atom_site_type_symbol
_atom_site_fract_x
_atom_site_fract_y
_atom_site_fract_z
Bi1 Bi 0.243 0.250 0.214
Br1 Br 0.286 0.750 0.564
F1 F 0.036 0.250 0.878
F2 F 0.361 0.750 0.111
```


A plane-wave DFT calculation with GGA-PBE was carried out for a relaxed structure of BiBr2F.

E_tot, eV per atom: -2.80
Uncorrected formation energy, eV per formula unit: -2.1
E above lowest polymorph, meV per atom: 772
DOS(E_F), states/eV/cell: 0.0

Geometry as CIF:
```
data_BiBr2F
_space_group_name_H-M_alt 'R -3 m'
_space_group_IT_number 166
_space_group_name_Hall '-R 3 2"'
_cell_length_a 4.0648
_cell_length_b 4.0648
_cell_length_c 25.2883
_cell_angle_alpha 90.00
_cell_angle_beta 90.00
_cell_angle_gamma 120.00
loop_
_atom_site_label
_atom_site_type_symbol
_atom_site_fract_x
_atom_site_fract_y
_atom_site_fract_z
Bi1 Bi 0.0000 0.0000 0.0000
Br1 Br 0.0000 0.0000 0.4078
F1 F 0.0000 0.0000 0.5000
```


A plane-wave DFT calculation with GGA-PBE was carried out for a relaxed structure of BiBr2F.

E_tot, eV per atom: -2.33
Uncorrected formation energy, eV per formula unit: -0.2
E above lowest polymorph, meV per atom: 1238
DOS(E_F), states/eV/cell: 10.7

Geometry as CIF:
```
data_BiBr2F
_space_group_name_H-M_alt 'R -3 m'
_space_group_IT_number 166
_space_group_name_Hall '-R 3 2"'
_cell_length_a 3.5845
_cell_length_b 3.5845
_cell_length_c 27.8411
_cell_angle_alpha 90.00
_cell_angle_beta 90.00
_cell_angle_gamma 120.00
loop_
_atom_site_label
_atom_site_type_symbol
_atom_site_fract_x
_atom_site_fract_y
_atom_site_fract_z
Bi1 Bi 0.0000 0.0000 0.0000
Br1 Br 0.0000 0.0000 0.0986
F1 F 0.0000 0.0000 0.5000
```


- What is the E_tot in the first record?
  -5.59 eV per atom


What did the tenth record say?
A plane-wave DFT calculation with GGA-PBE was carried out for a relaxed structure of BiBrF2.

E_tot, eV per atom: -4.12
Uncorrected formation energy, eV per formula unit: -7.2
E above lowest polymorph, meV per atom: 27
DOS(E_F), states/eV/cell: 0.0

Geometry as CIF:
```
data_BiBrF2
_space_group_name_H-M_alt 'P 1 21/m 1'
_space_group_IT_number 11
_space_group_name_Hall '-P 2yb'
_cell_length_a 6.701
_cell_length_b 3.803
_cell_length_c 7.251
_cell_angle_alpha 90.00
_cell_angle_beta 112.07
_cell_angle_gamma 90.00
loop_
_atom_site_label
_atom_site_type_symbol
_atom_site_fract_x
_atom_site_fract_y
_atom_site_fract_z
Bi1 Bi 0.243 0.250 0.214
Br1 Br 0.286 0.750 0.564
F1 F 0.036 0.250 0.878
F2 F 0.361 0.750 0.111
```


- Which value of DOS(E_F) does entry 6 give?
  0.0 states/eV/cell